Record 1
Material: TbPm6Nd2Y3
Method: DFT, PBE
State: optimized geometry

Cell lengths 6.294, 6.294, 11.997 Å; angles 95.01, 95.01, 120.00 degrees
Atoms (fractional coordinates):
Tb (0.000, 0.000, 0.000)
Pm (0.916, 0.583, 0.748)
Pm (0.751, 0.751, 0.252)
Pm (0.084, 0.417, 0.252)
Pm (0.583, 0.916, 0.748)
Pm (0.249, 0.249, 0.748)
Pm (0.417, 0.084, 0.252)
Nd (0.333, 0.667, 0.000)
Nd (0.667, 0.333, 0.000)
Y (0.167, 0.833, 0.500)
Y (0.833, 0.167, 0.500)
Y (0.500, 0.500, 0.500)

Values from the calculation:
Formation enthalpy at 0 K, kJ per mole of atoms: 1
Spin magnetization, μB/cell: 0.00
Symmetry: C2/m (12)

Record 2
Material: TbPmNd2Y
Method: DFT, PBE
State: optimized geometry

Cell lengths 6.819, 8.180, 6.237 Å; angles 90.00, 90.00, 90.00 degrees
Atoms (fractional coordinates):
Tb (0.582, 0.000, 0.250)
Tb (0.418, 0.000, 0.750)
Pm (0.000, 0.000, 0.000)
Pm (0.000, 0.000, 0.500)
Nd (0.692, 0.696, 0.750)
Nd (0.692, 0.304, 0.750)
Nd (0.308, 0.696, 0.250)
Nd (0.308, 0.304, 0.250)
Y (0.158, 0.500, 0.750)
Y (0.842, 0.500, 0.250)

Values from the calculation:
Formation enthalpy at 0 K, kJ per mole of atoms: 24
Spin magnetization, μB/cell: 0.00
Symmetry: Pmma (51)

Record 3
Material: Tb2Pm4NdY2
Method: DFT, PBE
State: optimized geometry

Cell lengths 5.110, 8.094, 8.084 Å; angles 107.44, 90.00, 108.40 degrees
Atoms (fractional coordinates):
Tb (0.889, 0.778, 0.334)
Tb (0.111, 0.222, 0.666)
Pm (0.777, 0.554, 0.666)
Pm (0.223, 0.446, 0.334)
Pm (0.555, 0.110, 0.334)
Pm (0.445, 0.890, 0.666)
Nd (0.000, 0.000, 0.000)
Y (0.333, 0.665, 0.001)
Y (0.667, 0.335, 0.999)

Values from the calculation:
Formation enthalpy at 0 K, kJ per mole of atoms: 1
Spin magnetization, μB/cell: 0.00
Symmetry: C2/m (12)

Record 4
Material: Tb2PmNd6Y
Method: DFT, PBE
State: optimized geometry

Cell lengths 9.773, 8.995, 8.995 Å; angles 117.92, 93.98, 93.98 degrees
Atoms (fractional coordinates):
Tb (0.455, 0.800, 0.701)
Tb (0.045, 0.299, 0.200)
Tb (0.545, 0.200, 0.299)
Tb (0.955, 0.701, 0.800)
Pm (0.250, 0.974, 0.026)
Pm (0.750, 0.026, 0.974)
Nd (0.054, 0.117, 0.757)
Nd (0.446, 0.243, 0.883)
Nd (0.946, 0.883, 0.243)
Nd (0.554, 0.757, 0.117)
Nd (0.315, 0.987, 0.435)
Nd (0.185, 0.565, 0.013)
Nd (0.685, 0.013, 0.565)
Nd (0.815, 0.435, 0.987)
Nd (0.120, 0.707, 0.491)
Nd (0.380, 0.509, 0.293)
Nd (0.880, 0.293, 0.509)
Nd (0.620, 0.491, 0.707)
Y (0.250, 0.410, 0.590)
Y (0.750, 0.590, 0.410)

Values from the calculation:
Formation enthalpy at 0 K, kJ per mole of atoms: 11
Spin magnetization, μB/cell: 0.00
Symmetry: C2/c (15)